This record from Alexandria via LeMat-Bulk describes TaIBrO2 at its PBEsol-relaxed geometry. The functional is SCAN.

abc: 3.9371 3.9371 6.2770
angles: 90.00 90.00 90.00
With the nearest neighbours (Å) after each atom.
Atoms (fractional coordinates):
I (0.0000, 0.0000, 0.5000)  4 Ta 2.78
O (0.0000, 0.5000, 0.0000)  2 Br 1.97
O (0.5000, 0.0000, 0.0000)  2 Br 1.97
Br (0.0000, 0.0000, 0.0000)  4 O 1.97
Ta (0.5000, 0.5000, 0.5000)  4 I 2.78

Calculated values
* E_form (uncorrected): 1183 meV/atom
* DOS at the Fermi energy: 0.7022 states/eV/atom
* symmetry: P4/mmm
* DFT total energy: -25.8665 eV/atom

=====

This record from Alexandria via LeMat-Bulk describes CsBe4B3O9 at its PBEsol-relaxed geometry. The functional is SCAN.

abc: 6.4418 8.4448 13.3642
angles: 90.00 90.00 90.00
With the nearest neighbours (Å) after each atom.
Atoms (fractional coordinates):
Cs (0.3393, 0.9218, 0.7500)  10 O 3.06-3.42, 1 B 3.22
Cs (0.1607, 0.4218, 0.7500)  10 O 3.06-3.42, 1 B 3.22
Cs (0.6607, 0.0782, 0.2500)  10 O 3.06-3.42, 1 B 3.22
Cs (0.8393, 0.5782, 0.2500)  10 O 3.06-3.42, 1 B 3.22
Be (0.9097, 0.0622, 0.5581)  4 O 1.60-1.64
Be (0.5903, 0.5622, 0.9419)  4 O 1.60-1.64
Be (0.0903, 0.9378, 0.0581)  4 O 1.60-1.64
Be (0.4097, 0.4378, 0.4419)  4 O 1.60-1.64
Be (0.0903, 0.9378, 0.4419)  4 O 1.60-1.64
Be (0.4097, 0.4378, 0.0581)  4 O 1.60-1.64
Be (0.9097, 0.0622, 0.9419)  4 O 1.60-1.64
Be (0.5903, 0.5622, 0.5581)  4 O 1.60-1.64
Be (0.6428, 0.2756, 0.6428)  4 O 1.58-1.67
Be (0.8572, 0.7756, 0.8572)  4 O 1.58-1.67
Be (0.3572, 0.7244, 0.1428)  4 O 1.58-1.67
Be (0.1428, 0.2244, 0.3572)  4 O 1.58-1.67
Be (0.3572, 0.7244, 0.3572)  4 O 1.58-1.67
Be (0.1428, 0.2244, 0.1428)  4 O 1.58-1.67
Be (0.6428, 0.2756, 0.8572)  4 O 1.58-1.67
Be (0.8572, 0.7756, 0.6428)  4 O 1.58-1.67
B (0.8120, 0.0472, 0.7500)  3 O 1.37-1.38
B (0.6880, 0.5472, 0.7500)  3 O 1.37-1.38
B (0.1880, 0.9528, 0.2500)  3 O 1.37-1.38
B (0.3120, 0.4528, 0.2500)  3 O 1.37-1.38
B (0.3061, 0.1753, 0.5327)  3 O 1.35-1.40
B (0.1939, 0.6753, 0.9673)  3 O 1.35-1.40
B (0.6939, 0.8247, 0.0327)  3 O 1.35-1.40
B (0.8061, 0.3247, 0.4673)  3 O 1.35-1.40
B (0.6939, 0.8247, 0.4673)  3 O 1.35-1.40
B (0.8061, 0.3247, 0.0327)  3 O 1.35-1.40
B (0.3061, 0.1753, 0.9673)  3 O 1.35-1.40
B (0.1939, 0.6753, 0.5327)  3 O 1.35-1.40
O (0.8541, 0.9711, 0.6615)  1 B 1.37
O (0.6459, 0.4711, 0.8385)  1 B 1.37
O (0.1459, 0.0289, 0.1615)  1 B 1.37
O (0.3541, 0.5289, 0.3385)  1 B 1.37
O (0.1459, 0.0289, 0.3385)  1 B 1.37
O (0.3541, 0.5289, 0.1615)  1 B 1.37
O (0.8541, 0.9711, 0.8385)  1 B 1.37
O (0.6459, 0.4711, 0.6615)  1 B 1.37
O (0.8182, 0.2385, 0.5567)  1 B 1.40
O (0.6818, 0.7385, 0.9433)  1 B 1.40
O (0.1818, 0.7615, 0.0567)  1 B 1.40
O (0.3182, 0.2615, 0.4433)  1 B 1.40
O (0.1818, 0.7615, 0.4433)  1 B 1.40
O (0.3182, 0.2615, 0.0567)  1 B 1.40
O (0.8182, 0.2385, 0.9433)  1 B 1.40
O (0.6818, 0.7385, 0.5567)  1 B 1.40
O (0.1599, 0.0529, 0.5347)  1 B 1.40
O (0.3401, 0.5529, 0.9653)  1 B 1.40
O (0.8401, 0.9471, 0.0347)  1 B 1.40
O (0.6599, 0.4471, 0.4653)  1 B 1.40
O (0.8401, 0.9471, 0.4653)  1 B 1.40
O (0.6599, 0.4471, 0.0347)  1 B 1.40
O (0.1599, 0.0529, 0.9653)  1 B 1.40
O (0.3401, 0.5529, 0.5347)  1 B 1.40
O (0.4226, 0.2067, 0.6138)  1 B 1.35
O (0.0774, 0.7067, 0.8862)  1 B 1.35
O (0.5774, 0.7933, 0.1138)  1 B 1.35
O (0.9226, 0.2933, 0.3862)  1 B 1.35
O (0.5774, 0.7933, 0.3862)  1 B 1.35
O (0.9226, 0.2933, 0.1138)  1 B 1.35
O (0.4226, 0.2067, 0.8862)  1 B 1.35
O (0.0774, 0.7067, 0.6138)  1 B 1.35
O (0.7283, 0.1974, 0.7500)  1 B 1.38
O (0.7717, 0.6974, 0.7500)  1 B 1.38
O (0.2717, 0.8026, 0.2500)  1 B 1.38
O (0.2283, 0.3026, 0.2500)  1 B 1.38

Calculated values
* E_form (uncorrected): -2821 meV/atom
* DOS at the Fermi energy: 0.0000 states/eV/atom
* symmetry: Pnma
* DFT total energy: -10.6793 eV/atom

=====

This record from Alexandria via LeMat-Bulk describes RuRh5 at its PBEsol-relaxed geometry. The functional is SCAN.

abc: 2.6635 2.6635 11.3243
angles: 90.00 90.00 90.00
With the nearest neighbours (Å) after each atom.
Atoms (fractional coordinates):
Rh (0.0000, 0.0000, 0.8361)  4 Ru 2.64, 8 Rh 2.66-2.70
Rh (0.0000, 0.0000, 0.1639)  4 Ru 2.64, 8 Rh 2.66-2.70
Rh (0.5000, 0.5000, 0.6654)  12 Rh 2.66-2.70
Rh (0.5000, 0.5000, 0.3346)  12 Rh 2.66-2.70
Rh (0.0000, 0.0000, 0.5000)  12 Rh 2.66
Ru (0.5000, 0.5000, 0.0000)  8 Rh 2.64, 4 Ru 2.66

Calculated values
* ΔE to the lowest computed polymorph: 0.0 meV/atom
* DOS at the Fermi energy: 1.0250 states/eV/atom
* symmetry: P4/mmm
* DFT total energy: -33.9378 eV/atom

=====

This record from Alexandria via LeMat-Bulk describes YOs3Pd at its PBEsol-relaxed geometry. The functional is SCAN.

abc: 4.6827 4.6827 4.6827
angles: 90.00 90.00 90.00
With the nearest neighbours (Å) after each atom.
Atoms (fractional coordinates):
Y (0.5000, 0.5000, 0.5000)  12 Os 3.31
Os (0.0000, 0.5000, 0.0000)  2 Pd 2.34
Os (0.0000, 0.0000, 0.5000)  2 Pd 2.34
Os (0.5000, 0.0000, 0.0000)  2 Pd 2.34
Pd (0.0000, 0.0000, 0.0000)  6 Os 2.34

Calculated values
* DOS at the Fermi energy: 0.9827 states/eV/atom
* symmetry: Pm-3m
* DFT total energy: -53.4188 eV/atom

=====

This record from Alexandria via LeMat-Bulk describes Sr20P12BrCl3O48 at its PBEsol-relaxed geometry. The functional is SCAN.

abc: 9.8779 9.8779 14.3359
angles: 90.00 90.00 120.00
With the nearest neighbours (Å) after each atom.
Atoms (fractional coordinates):
Sr (0.6667, 0.3333, 0.5007)  9 O 2.57-2.85
Sr (0.6667, 0.3333, 0.0001)  9 O 2.57-2.82
Sr (0.3333, 0.6667, 0.2514)  6 O 2.55-2.56
Sr (0.3333, 0.6667, 0.7501)  9 O 2.57-2.84
Sr (0.3333, 0.6667, 0.4993)  9 O 2.57-2.85
Sr (0.3333, 0.6667, 0.9999)  9 O 2.57-2.82
Sr (0.6667, 0.3333, 0.7486)  6 O 2.55-2.56
Sr (0.6667, 0.3333, 0.2499)  9 O 2.57-2.84
Sr (0.7510, 0.7447, 0.6249)  5 O 2.43-2.66
Sr (0.7480, 0.7400, 0.1270)  4 O 2.41-2.64
Sr (0.2553, 0.0064, 0.6249)  5 O 2.43-2.66
Sr (0.2600, 0.0080, 0.1270)  4 O 2.41-2.64
Sr (0.9936, 0.2490, 0.6249)  5 O 2.43-2.66
Sr (0.9920, 0.2520, 0.1270)  4 O 2.41-2.64
Sr (0.2490, 0.2553, 0.3751)  5 O 2.43-2.66
Sr (0.2520, 0.2600, 0.8730)  4 O 2.41-2.64
Sr (0.7447, 0.9936, 0.3751)  5 O 2.43-2.66
Sr (0.7400, 0.9920, 0.8730)  4 O 2.41-2.64
Sr (0.0064, 0.7510, 0.3751)  5 O 2.43-2.66
Sr (0.0080, 0.7480, 0.8730)  4 O 2.41-2.64
P (0.0352, 0.6280, 0.6245)  4 O 1.55-1.56
P (0.0355, 0.6288, 0.1249)  4 O 1.55-1.56
P (0.3720, 0.4072, 0.6245)  4 O 1.55-1.56
P (0.3712, 0.4066, 0.1249)  4 O 1.55-1.56
P (0.5928, 0.9648, 0.6245)  4 O 1.55-1.56
P (0.5934, 0.9645, 0.1249)  4 O 1.55-1.56
P (0.9648, 0.3720, 0.3755)  4 O 1.55-1.56
P (0.9645, 0.3712, 0.8751)  4 O 1.55-1.56
P (0.6280, 0.5928, 0.3755)  4 O 1.55-1.56
P (0.6288, 0.5934, 0.8751)  4 O 1.55-1.56
P (0.4072, 0.0352, 0.3755)  4 O 1.55-1.56
P (0.4066, 0.0355, 0.8751)  4 O 1.55-1.56
Br (0.0000, 0.0000, 0.0000)  6 Sr 3.12, 6 O 3.23
Cl (0.0000, 0.0000, 0.2517)  6 Sr 3.06-3.10, 6 O 3.19-3.21
Cl (0.0000, 0.0000, 0.7483)  6 Sr 3.06-3.10, 6 O 3.19-3.21
Cl (0.0000, 0.0000, 0.5000)  6 Sr 3.07, 6 O 3.21
O (0.1212, 0.5321, 0.6244)  1 P 1.56
O (0.1226, 0.5338, 0.1268)  1 P 1.56
O (0.4679, 0.5891, 0.6244)  1 P 1.56
O (0.4662, 0.5887, 0.1268)  1 P 1.56
O (0.4109, 0.8788, 0.6244)  1 P 1.56
O (0.4113, 0.8774, 0.1268)  1 P 1.56
O (0.8788, 0.4679, 0.3756)  1 P 1.56
O (0.8774, 0.4662, 0.8732)  1 P 1.56
O (0.5321, 0.4109, 0.3756)  1 P 1.56
O (0.5338, 0.4113, 0.8732)  1 P 1.56
O (0.5891, 0.1212, 0.3756)  1 P 1.56
O (0.5887, 0.1226, 0.8732)  1 P 1.56
O (0.0902, 0.7346, 0.5371)  1 P 1.55
O (0.0916, 0.7329, 0.0365)  1 P 1.55
O (0.2654, 0.3556, 0.5371)  1 P 1.55
O (0.2671, 0.3587, 0.0365)  1 P 1.55
O (0.6444, 0.9098, 0.5371)  1 P 1.55
O (0.6413, 0.9084, 0.0365)  1 P 1.55
O (0.9085, 0.2654, 0.2880)  1 P 1.55
O (0.9106, 0.2632, 0.7883)  1 P 1.55
O (0.7346, 0.6432, 0.2880)  1 P 1.55
O (0.7368, 0.6474, 0.7883)  1 P 1.55
O (0.3568, 0.0915, 0.2880)  1 P 1.55
O (0.3526, 0.0894, 0.7883)  1 P 1.55
O (0.9098, 0.2654, 0.4629)  1 P 1.55
O (0.9084, 0.2671, 0.9636)  1 P 1.55
O (0.7346, 0.6444, 0.4629)  1 P 1.55
O (0.7329, 0.6413, 0.9636)  1 P 1.55
O (0.3556, 0.0902, 0.4629)  1 P 1.55
O (0.3587, 0.0916, 0.9636)  1 P 1.55
O (0.0915, 0.7346, 0.7120)  1 P 1.55
O (0.0894, 0.7368, 0.2117)  1 P 1.55
O (0.2654, 0.3568, 0.7120)  1 P 1.55
O (0.2632, 0.3526, 0.2117)  1 P 1.55
O (0.6432, 0.9085, 0.7120)  1 P 1.55
O (0.6474, 0.9106, 0.2117)  1 P 1.55
O (0.8552, 0.5189, 0.6250)  1 P 1.55
O (0.8556, 0.5183, 0.1249)  1 P 1.55
O (0.4811, 0.3363, 0.6250)  1 P 1.55
O (0.4817, 0.3374, 0.1249)  1 P 1.55
O (0.6637, 0.1448, 0.6250)  1 P 1.55
O (0.6626, 0.1444, 0.1249)  1 P 1.55
O (0.1448, 0.4811, 0.3750)  1 P 1.55
O (0.1444, 0.4817, 0.8751)  1 P 1.55
O (0.5189, 0.6637, 0.3750)  1 P 1.55
O (0.5183, 0.6626, 0.8751)  1 P 1.55
O (0.3363, 0.8552, 0.3750)  1 P 1.55
O (0.3374, 0.8556, 0.8751)  1 P 1.55

Calculated values
* E_form (uncorrected): -3203 meV/atom
* DOS at the Fermi energy: 0.0000 states/eV/atom
* symmetry: P-3
* DFT total energy: -14.0690 eV/atom

=====

This record from Alexandria via LeMat-Bulk describes KCdC2 at its PBEsol-relaxed geometry. The functional is SCAN.

abc: 4.2675 4.2675 8.2565
angles: 104.98 104.98 90.00
With the nearest neighbours (Å) after each atom.
Atoms (fractional coordinates):
K (0.5000, 0.5000, 0.0000)  4 Cd 3.02, 8 C 3.06
K (0.7500, 0.2500, 0.5000)  4 Cd 3.02, 8 C 3.06
C (0.6250, 0.8750, 0.7500)  2 C 2.13, 2 Cd 2.20
C (0.1250, 0.8750, 0.7500)  2 C 2.13, 2 Cd 2.20
C (0.1250, 0.8750, 0.2500)  2 C 2.13, 2 Cd 2.20
C (0.1250, 0.3750, 0.2500)  2 C 2.13, 2 Cd 2.20
Cd (0.0000, 0.0000, 0.0000)  4 C 2.20
Cd (0.2500, 0.7500, 0.5000)  4 C 2.20

Calculated values
* DOS at the Fermi energy: 0.4914 states/eV/atom
* symmetry: I4_1/amd
* DFT total energy: -12.7849 eV/atom

=====

Question: Number 4 is which compound?
Answer: YOs3Pd